Material: MnHgC2O6
Method: DFT, GGA+U
State: optimized geometry

total energy: -68.61 eV/cell
calculated volume: 118 Å³/cell
size of the total moment: 5.0 μB per formula unit

Cell: 4.9834 4.9834 6.1868 Å, 66.25 66.25 60.00°
Closest atoms and distances in Å follow each position.
Fractional coordinates of all 10 atoms:
Mn1 0.5000 0.5000 0.5000  6 O 2.21
Hg1 0.0000 0.0000 0.0000  6 O 2.43
C1 0.7541 0.7541 0.7376  3 O 1.30
C2 0.2459 0.2459 0.2624  3 O 1.30
O1 0.0272 0.5080 0.7379  1 C 1.30
O2 0.7269 0.0272 0.7379  1 C 1.30
O3 0.4920 0.2731 0.2621  1 C 1.30
O4 0.9728 0.4920 0.2621  1 C 1.30
O5 0.2731 0.9728 0.2621  1 C 1.30
O6 0.5080 0.7269 0.7379  1 C 1.30